# NpPaC2 PBE relaxed
# * density of states at the Fermi level: 1.53 states/eV/atom
# * energy: -40.822 eV/cell
# * calculated density: 12.91 g cm⁻³
# * E above lowest polymorph: 2.99 kcal/mol of atoms
# * SG: No. 160
data_NpPaC2
_space_group_name_H-M_alt 'P 1'
_space_group_IT_number 1
_cell_length_a 3.505
_cell_length_b 3.505
_cell_length_c 6.283
_cell_angle_alpha 73.80
_cell_angle_beta 73.80
_cell_angle_gamma 60.00
loop_
_space_group_symop_operation_xyz
'x,y,z'
loop_
_atom_site_label
_atom_site_fract_x
_atom_site_fract_y
_atom_site_fract_z
Pa1 0.667 0.667 0.999
Np1 0.501 0.501 0.497
C1 0.252 0.252 0.245
C2 0.081 0.081 0.758



# NpPaC2 PBE relaxed
# * density of states at the Fermi level: 1.89 states/eV/atom
# * energy: -41.341 eV/cell
# * calculated density: 12.91 g cm⁻³
# * E above lowest polymorph: 0.00 kcal/mol of atoms
# * SG: No. 166
data_NpPaC2
_space_group_name_H-M_alt 'P 1'
_space_group_IT_number 1
_cell_length_a 3.540
_cell_length_b 3.540
_cell_length_c 6.179
_cell_angle_alpha 73.35
_cell_angle_beta 73.35
_cell_angle_gamma 60.00
loop_
_space_group_symop_operation_xyz
'x,y,z'
loop_
_atom_site_label
_atom_site_fract_x
_atom_site_fract_y
_atom_site_fract_z
C1 0.249 0.249 0.253
C2 0.751 0.751 0.747
Np1 0.500 0.500 0.500
Pa1 0.000 0.000 0.000



# NpPa5C6 PBE relaxed
# * density of states at the Fermi level: 1.36 states/eV/atom
# * energy: -119.776 eV/cell
# * calculated density: 12.51 g cm⁻³
# * SG: No. 12
data_NpPa5C6
_space_group_name_H-M_alt 'P 1'
_space_group_IT_number 1
_cell_length_a 6.202
_cell_length_b 6.196
_cell_length_c 6.197
_cell_angle_alpha 60.01
_cell_angle_beta 80.36
_cell_angle_gamma 70.44
loop_
_space_group_symop_operation_xyz
'x,y,z'
loop_
_atom_site_label
_atom_site_fract_x
_atom_site_fract_y
_atom_site_fract_z
C1 0.248 0.586 0.331
C2 0.250 0.248 0.000
C3 0.750 0.752 0.000
C4 0.752 0.414 0.669
C5 0.752 0.082 0.331
C6 0.248 0.918 0.669
Pa1 0.000 0.334 0.333
Pa2 0.000 0.666 0.667
Pa3 0.500 0.500 0.000
Pa4 0.500 0.167 0.667
Pa5 0.500 0.833 0.333
Np1 0.000 0.000 0.000



# Np2PaC PBE relaxed
# * density of states at the Fermi level: 2.20 states/eV/atom
# * energy: -39.560 eV/cell
# * calculated density: 13.55 g cm⁻³
# * E above lowest polymorph: 17.52 kcal/mol of atoms
# * SG: No. 166
data_Np2PaC
_space_group_name_H-M_alt 'P 1'
_space_group_IT_number 1
_cell_length_a 3.799
_cell_length_b 3.799
_cell_length_c 7.365
_cell_angle_alpha 75.05
_cell_angle_beta 75.05
_cell_angle_gamma 60.00
loop_
_space_group_symop_operation_xyz
'x,y,z'
loop_
_atom_site_label
_atom_site_fract_x
_atom_site_fract_y
_atom_site_fract_z
C1 0.000 0.000 0.000
Pa1 0.500 0.500 0.500
Np1 0.905 0.905 0.285
Np2 0.095 0.095 0.715



# Np2PaC PBE relaxed
# * density of states at the Fermi level: 2.37 states/eV/atom
# * energy: -42.598 eV/cell
# * calculated density: 17.23 g cm⁻³
# * E above lowest polymorph: 0.00 kcal/mol of atoms
# * SG: No. 123
data_Np2PaC
_space_group_name_H-M_alt 'P 1'
_space_group_IT_number 1
_cell_length_a 3.422
_cell_length_b 3.422
_cell_length_c 5.900
_cell_angle_alpha 90.00
_cell_angle_beta 90.00
_cell_angle_gamma 90.00
loop_
_space_group_symop_operation_xyz
'x,y,z'
loop_
_atom_site_label
_atom_site_fract_x
_atom_site_fract_y
_atom_site_fract_z
Pa1 0.500 0.500 0.000
Np1 0.000 0.000 0.702
Np2 0.000 0.000 0.298
C1 0.500 0.500 0.500



# PuNpPa2C4 PBE relaxed
# * density of states at the Fermi level: 2.12 states/eV/atom
# * energy: -84.320 eV/cell
# * calculated density: 12.78 g cm⁻³
# * SG: No. 10
data_PuNpPa2C4
_space_group_name_H-M_alt 'P 1'
_space_group_IT_number 1
_cell_length_a 3.579
_cell_length_b 6.165
_cell_length_c 6.206
_cell_angle_alpha 70.19
_cell_angle_beta 90.00
_cell_angle_gamma 90.00
loop_
_space_group_symop_operation_xyz
'x,y,z'
loop_
_atom_site_label
_atom_site_fract_x
_atom_site_fract_y
_atom_site_fract_z
Pa1 0.000 0.000 0.000
Pa2 0.500 0.000 0.500
C1 0.000 0.754 0.755
C2 0.000 0.246 0.245
C3 0.500 0.244 0.758
C4 0.500 0.756 0.242
Pu1 0.000 0.500 0.500
Np1 0.500 0.500 0.000



# NpPa2ReC4 PBE relaxed
# * density of states at the Fermi level: 1.27 states/eV/atom
# * energy: -162.869 eV/cell
# * calculated density: 12.55 g cm⁻³
# * SG: No. 63
data_NpPa2ReC4
_space_group_name_H-M_alt 'P 1'
_space_group_IT_number 1
_cell_length_a 3.484
_cell_length_b 6.149
_cell_length_c 12.024
_cell_angle_alpha 90.00
_cell_angle_beta 90.00
_cell_angle_gamma 106.46
loop_
_space_group_symop_operation_xyz
'x,y,z'
loop_
_atom_site_label
_atom_site_fract_x
_atom_site_fract_y
_atom_site_fract_z
Pa1 0.634 0.267 0.044
Pa2 0.366 0.733 0.544
Pa3 0.634 0.267 0.456
Pa4 0.366 0.733 0.956
Np1 0.888 0.776 0.250
Np2 0.112 0.224 0.750
C1 0.552 0.105 0.250
C2 0.730 0.460 0.868
C3 0.448 0.895 0.750
C4 0.270 0.540 0.132
C5 0.730 0.460 0.632
C6 0.000 0.000 0.000
C7 0.270 0.540 0.368
C8 0.000 0.000 0.500
Re1 0.147 0.293 0.250
Re2 0.853 0.707 0.750



# Np2PaReC4 PBE relaxed
# * density of states at the Fermi level: 1.26 states/eV/atom
# * energy: -168.395 eV/cell
# * calculated density: 13.42 g cm⁻³
# * SG: No. 63
data_Np2PaReC4
_space_group_name_H-M_alt 'P 1'
_space_group_IT_number 1
_cell_length_a 3.345
_cell_length_b 6.170
_cell_length_c 11.701
_cell_angle_alpha 90.00
_cell_angle_beta 90.00
_cell_angle_gamma 105.73
loop_
_space_group_symop_operation_xyz
'x,y,z'
loop_
_atom_site_label
_atom_site_fract_x
_atom_site_fract_y
_atom_site_fract_z
Re1 0.849 0.699 0.750
Re2 0.151 0.301 0.250
C1 0.726 0.451 0.626
C2 0.274 0.549 0.374
C3 0.542 0.083 0.250
C4 0.000 0.000 0.000
C5 0.726 0.451 0.874
C6 0.458 0.917 0.750
C7 0.274 0.549 0.126
C8 0.000 0.000 0.500
Np1 0.367 0.734 0.953
Np2 0.633 0.266 0.047
Np3 0.367 0.734 0.547
Np4 0.633 0.266 0.453
Pa1 0.111 0.222 0.750
Pa2 0.889 0.778 0.250



# Np2PaRuC4 PBE relaxed
# * density of states at the Fermi level: 1.24 states/eV/atom
# * energy: -162.208 eV/cell
# * calculated density: 12.31 g cm⁻³
# * SG: No. 63
data_Np2PaRuC4
_space_group_name_H-M_alt 'P 1'
_space_group_IT_number 1
_cell_length_a 3.460
_cell_length_b 6.059
_cell_length_c 11.464
_cell_angle_alpha 90.00
_cell_angle_beta 90.00
_cell_angle_gamma 106.59
loop_
_space_group_symop_operation_xyz
'x,y,z'
loop_
_atom_site_label
_atom_site_fract_x
_atom_site_fract_y
_atom_site_fract_z
Np1 0.630 0.261 0.450
Np2 0.370 0.739 0.950
Np3 0.370 0.739 0.550
Np4 0.630 0.261 0.050
Pa1 0.111 0.223 0.750
Pa2 0.889 0.777 0.250
Ru1 0.148 0.296 0.250
Ru2 0.852 0.704 0.750
C1 0.458 0.917 0.750
C2 0.542 0.083 0.250
C3 0.726 0.452 0.626
C4 0.726 0.452 0.874
C5 0.274 0.548 0.126
C6 0.000 0.000 0.000
C7 0.000 0.000 0.500
C8 0.274 0.548 0.374



# NpPaCS2 PBE relaxed
# * density of states at the Fermi level: 2.03 states/eV/atom
# * energy: -90.355 eV/cell
# * calculated density: 8.77 g cm⁻³
# * formation energy without anion corrections: -1.05 eV per atom
# * SG: No. 129
data_NpPaCS2
_space_group_name_H-M_alt 'P 1'
_space_group_IT_number 1
_cell_length_a 3.877
_cell_length_b 3.877
_cell_length_c 13.712
_cell_angle_alpha 90.00
_cell_angle_beta 90.00
_cell_angle_gamma 90.00
loop_
_space_group_symop_operation_xyz
'x,y,z'
loop_
_atom_site_label
_atom_site_fract_x
_atom_site_fract_y
_atom_site_fract_z
S1 0.000 0.500 0.695
S2 0.000 0.500 0.093
S3 0.500 0.000 0.305
S4 0.500 0.000 0.907
C1 0.000 0.000 0.500
C2 0.500 0.500 0.500
Pa1 0.000 0.500 0.410
Pa2 0.500 0.000 0.590
Np1 0.500 0.000 0.112
Np2 0.000 0.500 0.888



# NpSc2PaC4 PBE relaxed
# * density of states at the Fermi level: 0.70 states/eV/atom
# * energy: -74.313 eV/cell
# * calculated density: 8.61 g cm⁻³
# * SG: No. 10
data_NpSc2PaC4
_space_group_name_H-M_alt 'P 1'
_space_group_IT_number 1
_cell_length_a 3.486
_cell_length_b 5.894
_cell_length_c 6.045
_cell_angle_alpha 70.27
_cell_angle_beta 90.00
_cell_angle_gamma 90.00
loop_
_space_group_symop_operation_xyz
'x,y,z'
loop_
_atom_site_label
_atom_site_fract_x
_atom_site_fract_y
_atom_site_fract_z
C1 0.000 0.741 0.759
C2 0.000 0.259 0.241
C3 0.500 0.261 0.759
C4 0.500 0.739 0.241
Np1 0.500 0.500 0.000
Sc1 0.000 0.000 0.000
Sc2 0.500 0.000 0.500
Pa1 0.000 0.500 0.500



# NpPaCSe2 PBE relaxed
# * density of states at the Fermi level: 2.04 states/eV/atom
# * energy: -86.303 eV/cell
# * calculated density: 9.19 g cm⁻³
# * formation energy without anion corrections: -0.90 eV per atom
# * SG: No. 129
data_NpPaCSe2
_space_group_name_H-M_alt 'P 1'
_space_group_IT_number 1
_cell_length_a 4.012
_cell_length_b 4.012
_cell_length_c 14.318
_cell_angle_alpha 90.00
_cell_angle_beta 90.00
_cell_angle_gamma 90.00
loop_
_space_group_symop_operation_xyz
'x,y,z'
loop_
_atom_site_label
_atom_site_fract_x
_atom_site_fract_y
_atom_site_fract_z
Se1 0.500 0.000 0.307
Se2 0.000 0.500 0.093
Se3 0.500 0.000 0.907
Se4 0.000 0.500 0.693
Np1 0.500 0.000 0.115
Np2 0.000 0.500 0.885
C1 0.500 0.500 0.500
C2 0.000 0.000 0.500
Pa1 0.000 0.500 0.419
Pa2 0.500 0.000 0.581



# NpPa2SiC4 PBE relaxed
# * density of states at the Fermi level: 1.02 states/eV/atom
# * energy: -149.999 eV/cell
# * calculated density: 10.70 g cm⁻³
# * formation energy without anion corrections: -0.09 eV per atom
# * SG: No. 63
data_NpPa2SiC4
_space_group_name_H-M_alt 'P 1'
_space_group_IT_number 1
_cell_length_a 3.530
_cell_length_b 6.034
_cell_length_c 11.817
_cell_angle_alpha 90.00
_cell_angle_beta 90.00
_cell_angle_gamma 107.01
loop_
_space_group_symop_operation_xyz
'x,y,z'
loop_
_atom_site_label
_atom_site_fract_x
_atom_site_fract_y
_atom_site_fract_z
C1 0.268 0.536 0.128
C2 0.732 0.464 0.872
C3 0.732 0.464 0.628
C4 0.000 0.000 0.000
C5 0.430 0.859 0.750
C6 0.570 0.141 0.250
C7 0.268 0.536 0.372
C8 0.000 0.000 0.500
Pa1 0.631 0.263 0.051
Pa2 0.369 0.737 0.551
Pa3 0.631 0.263 0.449
Pa4 0.369 0.737 0.949
Si1 0.836 0.672 0.750
Si2 0.164 0.328 0.250
Np1 0.101 0.203 0.750
Np2 0.899 0.797 0.250



# TbNpPa2C4 PBE relaxed
# * density of states at the Fermi level: 1.18 states/eV/atom
# * energy: -75.382 eV/cell
# * calculated density: 11.51 g cm⁻³
# * SG: No. 10
data_TbNpPa2C4
_space_group_name_H-M_alt 'P 1'
_space_group_IT_number 1
_cell_length_a 3.602
_cell_length_b 6.178
_cell_length_c 6.232
_cell_angle_alpha 70.50
_cell_angle_beta 90.00
_cell_angle_gamma 90.00
loop_
_space_group_symop_operation_xyz
'x,y,z'
loop_
_atom_site_label
_atom_site_fract_x
_atom_site_fract_y
_atom_site_fract_z
Pa1 0.500 0.000 0.500
Pa2 0.000 0.000 0.000
C1 0.000 0.761 0.750
C2 0.500 0.760 0.231
C3 0.500 0.240 0.769
C4 0.000 0.239 0.250
Np1 0.500 0.500 0.000
Tb1 0.000 0.500 0.500



# Np2PaTcC4 PBE relaxed
# * density of states at the Fermi level: 1.17 states/eV/atom
# * energy: -164.493 eV/cell
# * calculated density: 12.27 g cm⁻³
# * SG: No. 63
data_Np2PaTcC4
_space_group_name_H-M_alt 'P 1'
_space_group_IT_number 1
_cell_length_a 3.366
_cell_length_b 6.165
_cell_length_c 11.535
_cell_angle_alpha 90.00
_cell_angle_beta 90.00
_cell_angle_gamma 105.84
loop_
_space_group_symop_operation_xyz
'x,y,z'
loop_
_atom_site_label
_atom_site_fract_x
_atom_site_fract_y
_atom_site_fract_z
C1 0.540 0.080 0.250
C2 0.724 0.448 0.625
C3 0.276 0.552 0.125
C4 0.724 0.448 0.875
C5 0.276 0.552 0.375
C6 0.460 0.920 0.750
C7 0.000 0.000 0.000
C8 0.000 0.000 0.500
Tc1 0.151 0.303 0.250
Tc2 0.849 0.697 0.750
Np1 0.368 0.736 0.950
Np2 0.632 0.264 0.450
Np3 0.368 0.736 0.550
Np4 0.632 0.264 0.050
Pa1 0.111 0.221 0.750
Pa2 0.889 0.779 0.250



# NpUPa2C4 PBE relaxed
# * density of states at the Fermi level: 1.61 states/eV/atom
# * energy: -81.766 eV/cell
# * calculated density: 13.01 g cm⁻³
# * SG: No. 10
data_NpUPa2C4
_space_group_name_H-M_alt 'P 1'
_space_group_IT_number 1
_cell_length_a 3.544
_cell_length_b 6.127
_cell_length_c 6.157
_cell_angle_alpha 70.12
_cell_angle_beta 90.00
_cell_angle_gamma 90.00
loop_
_space_group_symop_operation_xyz
'x,y,z'
loop_
_atom_site_label
_atom_site_fract_x
_atom_site_fract_y
_atom_site_fract_z
C1 0.500 0.263 0.739
C2 0.000 0.740 0.748
C3 0.500 0.737 0.261
C4 0.000 0.260 0.252
U1 0.000 0.500 0.500
Np1 0.500 0.500 0.000
Pa1 0.500 0.000 0.500
Pa2 0.000 0.000 0.000



# Np2PaWC4 PBE relaxed
# * density of states at the Fermi level: 1.34 states/eV/atom
# * energy: -168.643 eV/cell
# * calculated density: 12.81 g cm⁻³
# * SG: No. 63
data_Np2PaWC4
_space_group_name_H-M_alt 'P 1'
_space_group_IT_number 1
_cell_length_a 3.356
_cell_length_b 6.140
_cell_length_c 12.258
_cell_angle_alpha 90.00
_cell_angle_beta 90.00
_cell_angle_gamma 105.86
loop_
_space_group_symop_operation_xyz
'x,y,z'
loop_
_atom_site_label
_atom_site_fract_x
_atom_site_fract_y
_atom_site_fract_z
Np1 0.365 0.729 0.538
Np2 0.365 0.729 0.962
Np3 0.635 0.271 0.462
Np4 0.635 0.271 0.038
C1 0.270 0.541 0.369
C2 0.000 0.000 0.000
C3 0.544 0.088 0.250
C4 0.730 0.459 0.869
C5 0.000 0.000 0.500
C6 0.270 0.541 0.131
C7 0.730 0.459 0.631
C8 0.456 0.912 0.750
W1 0.847 0.694 0.750
W2 0.153 0.306 0.250
Pa1 0.112 0.224 0.750
Pa2 0.888 0.776 0.250



# Y2NpPaC4 PBE relaxed
# * density of states at the Fermi level: 0.78 states/eV/atom
# * energy: -74.183 eV/cell
# * calculated density: 8.88 g cm⁻³
# * SG: No. 10
data_Y2NpPaC4
_space_group_name_H-M_alt 'P 1'
_space_group_IT_number 1
_cell_length_a 3.605
_cell_length_b 6.132
_cell_length_c 6.229
_cell_angle_alpha 70.43
_cell_angle_beta 90.00
_cell_angle_gamma 90.00
loop_
_space_group_symop_operation_xyz
'x,y,z'
loop_
_atom_site_label
_atom_site_fract_x
_atom_site_fract_y
_atom_site_fract_z
C1 0.000 0.719 0.767
C2 0.500 0.719 0.247
C3 0.000 0.281 0.233
C4 0.500 0.281 0.753
Np1 0.500 0.500 0.000
Pa1 0.000 0.500 0.500
Y1 0.500 0.000 0.500
Y2 0.000 0.000 0.000



# Zr2NpPaC4 PBE relaxed
# * density of states at the Fermi level: 0.76 states/eV/atom
# * energy: -80.185 eV/cell
# * calculated density: 9.97 g cm⁻³
# * SG: No. 10
data_Zr2NpPaC4
_space_group_name_H-M_alt 'P 1'
_space_group_IT_number 1
_cell_length_a 3.431
_cell_length_b 6.058
_cell_length_c 5.919
_cell_angle_alpha 71.06
_cell_angle_beta 90.00
_cell_angle_gamma 90.00
loop_
_space_group_symop_operation_xyz
'x,y,z'
loop_
_atom_site_label
_atom_site_fract_x
_atom_site_fract_y
_atom_site_fract_z
Np1 0.500 0.500 0.000
C1 0.000 0.757 0.751
C2 0.500 0.758 0.242
C3 0.000 0.243 0.249
C4 0.500 0.242 0.758
Pa1 0.000 0.500 0.500
Zr1 0.500 0.000 0.500
Zr2 0.000 0.000 0.000



# NpPdC PBE relaxed
# * density of states at the Fermi level: 2.62 states/eV/atom
# * energy: -53.881 eV/cell
# * calculated density: 11.71 g cm⁻³
# * SG: No. 12
data_NpPdC
_space_group_name_H-M_alt 'P 1'
_space_group_IT_number 1
_cell_length_a 3.596
_cell_length_b 3.596
_cell_length_c 8.059
_cell_angle_alpha 94.36
_cell_angle_beta 94.36
_cell_angle_gamma 76.47
loop_
_space_group_symop_operation_xyz
'x,y,z'
loop_
_atom_site_label
_atom_site_fract_x
_atom_site_fract_y
_atom_site_fract_z
Pd1 0.788 0.788 0.403
Pd2 0.212 0.212 0.597
C1 0.657 0.343 0.000
C2 0.343 0.657 0.000
Np1 0.212 0.212 0.187
Np2 0.788 0.788 0.813